Record 1
This record from Alexandria via LeMat-Bulk describes an optimized crystal structure of LaCeNiPt. The functional is GGA-PBEsol.

Cell lengths 3.764, 4.284, 5.827 Å; angles 90.00, 108.84, 90.00 degrees
Each line ends with the local moment (μB).
Fractional coordinates of all 4 atoms:
Ni: 0.423 0.000 0.847  -0.01
Ce: 0.127 0.000 0.254  0.21
Pt: 0.589 0.500 0.177  -0.01
La: 0.861 0.500 0.722  0.01

Values from the calculation:
- crystal system = orthorhombic
- E_form (eV per atom) = -0.6321

Record 2
This record from Alexandria via LeMat-Bulk describes an optimized crystal structure of YAl3Se. The functional is GGA-PBEsol.

Cell lengths 4.907, 4.907, 4.907 Å; angles 90.00, 90.00, 90.00 degrees
Fractional coordinates of all 5 atoms:
Y: 0.500 0.500 0.500
Al: 0.000 0.000 0.500
Al: 0.500 0.000 0.000
Se: 0.000 0.000 0.000
Al: 0.000 0.500 0.000

Values from the calculation:
- crystal system = cubic
- formation energy from raw total energies (eV/atom) = 0.304

Record 3
This record from Alexandria via LeMat-Bulk describes an optimized crystal structure of Li4CrPt. The functional is GGA-PBEsol.

Cell lengths 4.833, 4.833, 4.833 Å; angles 60.00, 60.00, 60.00 degrees
Each line ends with the local moment (μB).
Fractional coordinates of all 6 atoms:
Li: 0.376 0.870 0.376  0.00
Li: 0.870 0.376 0.376  0.00
Li: 0.376 0.376 0.870  0.00
Pt: 0.750 0.750 0.750  0.08
Li: 0.376 0.376 0.376  0.00
Cr: 0.000 0.000 0.000  3.69

Values from the calculation:
- crystal system = cubic
- E_form (eV per atom) = 0.1380

Record 4
This record from Alexandria via LeMat-Bulk describes an optimized crystal structure of TbGaAg. The functional is GGA-PBEsol.

Cell lengths 4.497, 5.606, 5.759 Å; angles 77.20, 67.02, 66.35 degrees
Fractional coordinates of all 6 atoms:
Tb: 0.465 0.778 0.293
Ga: 0.841 0.203 0.115
Ga: 0.159 0.797 0.885
Ag: 0.827 0.623 0.722
Ag: 0.173 0.377 0.278
Tb: 0.535 0.222 0.707

Values from the calculation:
- crystal system = monoclinic
- E_form (eV per atom) = -0.5278

Record 5
This record from Alexandria via LeMat-Bulk describes an optimized crystal structure of AlTe2RuI. The functional is GGA-PBEsol.

Cell lengths 5.069, 5.069, 5.635 Å; angles 90.00, 90.00, 90.00 degrees
Fractional coordinates of all 5 atoms:
Te: 0.500 0.000 0.000
Ru: 0.000 0.000 0.000
Te: 0.000 0.500 0.000
I: 0.000 0.000 0.500
Al: 0.500 0.500 0.500

Values from the calculation:
- crystal system = tetragonal
- formation energy from raw total energies (eV/atom) = 0.480

Record 6
This record from Alexandria via LeMat-Bulk describes an optimized crystal structure of TlAuSe. The functional is GGA-PBEsol.

Cell lengths 4.405, 4.405, 4.454 Å; angles 90.00, 90.00, 120.00 degrees
Fractional coordinates of all 3 atoms:
Se: 0.333 0.667 0.000
Tl: 0.667 0.333 0.500
Au: 0.000 0.000 0.000

Values from the calculation:
- crystal system = hexagonal
- formation energy from raw total energies (eV/atom) = -0.156

Record 7
This record from Alexandria via LeMat-Bulk describes an optimized crystal structure of Dy3Sc2S7. The functional is GGA-PBEsol.

Cell lengths 3.692, 6.398, 11.211 Å; angles 104.47, 90.00, 106.77 degrees
Fractional coordinates of all 12 atoms:
S: 0.337 0.674 0.947
S: 0.500 0.000 0.500
Dy: 0.696 0.393 0.799
S: 0.032 0.064 0.776
S: 0.968 0.936 0.224
Dy: 0.304 0.607 0.201
S: 0.663 0.326 0.053
Dy: 0.000 0.000 0.000
S: 0.264 0.529 0.640
Sc: 0.888 0.776 0.571
S: 0.736 0.471 0.360
Sc: 0.112 0.224 0.429

Values from the calculation:
- crystal system = monoclinic
- formation energy from raw total energies (eV/atom) = -2.086

Record 8
This record from Alexandria via LeMat-Bulk describes an optimized crystal structure of Cs3Cr2I9. The functional is GGA-PBEsol.

Cell lengths 7.965, 7.965, 20.071 Å; angles 90.00, 90.00, 120.00 degrees
Each line ends with the local moment (μB).
Fractional coordinates of all 28 atoms:
Cs: 0.333 0.667 0.069  0.00
I: 0.656 0.828 0.590  -0.04
I: 0.512 0.488 0.250  -0.06
Cs: 0.000 0.000 0.750  0.00
Cr: 0.667 0.333 0.337  2.96
I: 0.828 0.656 0.410  -0.04
I: 0.488 0.977 0.750  -0.06
Cr: 0.333 0.667 0.837  2.96
I: 0.656 0.828 0.910  -0.04
Cr: 0.667 0.333 0.163  2.96
I: 0.172 0.344 0.590  -0.04
I: 0.344 0.172 0.090  -0.04
I: 0.172 0.828 0.590  -0.04
I: 0.828 0.172 0.090  -0.04
Cs: 0.000 0.000 0.250  0.00
I: 0.828 0.656 0.090  -0.04
Cs: 0.333 0.667 0.431  0.00
Cs: 0.667 0.333 0.569  0.00
I: 0.172 0.344 0.910  -0.04
I: 0.023 0.512 0.750  -0.06
Cr: 0.333 0.667 0.663  2.96
Cs: 0.667 0.333 0.931  0.00
I: 0.977 0.488 0.250  -0.06
I: 0.828 0.172 0.410  -0.04
I: 0.488 0.512 0.750  -0.06
I: 0.172 0.828 0.910  -0.04
I: 0.512 0.023 0.250  -0.06
I: 0.344 0.172 0.410  -0.04

Values from the calculation:
- crystal system = hexagonal
- formation energy from raw total energies (eV/atom) = -0.889

Record 9
This record from Alexandria via LeMat-Bulk describes an optimized crystal structure of SrMgSb2. The functional is GGA-PBEsol.

Cell lengths 4.417, 4.946, 4.946 Å; angles 90.00, 90.00, 90.00 degrees
Fractional coordinates of all 4 atoms:
Sr: 0.500 0.500 0.500
Sb: 0.000 0.500 0.000
Mg: 0.500 0.000 0.000
Sb: 0.000 0.000 0.500

Values from the calculation:
- crystal system = tetragonal
- formation energy from raw total energies (eV/atom) = -0.544

Record 10
This record from Alexandria via LeMat-Bulk describes an optimized crystal structure of Zn2WSe. The functional is GGA-PBEsol.

Cell lengths 2.973, 4.261, 6.277 Å; angles 109.84, 103.70, 90.00 degrees
Fractional coordinates of all 4 atoms:
Zn: 0.927 0.927 0.853
Zn: 0.782 0.282 0.564
Se: 0.560 0.560 0.121
W: 0.231 0.731 0.462

Values from the calculation:
- crystal system = orthorhombic
- formation energy from raw total energies (eV/atom) = 0.287

Record 11
This record from Alexandria via LeMat-Bulk describes an optimized crystal structure of CaNb2P2O11. The functional is GGA-PBEsol.

Cell lengths 5.254, 9.259, 9.259 Å; angles 71.61, 86.99, 86.99 degrees
Fractional coordinates of all 32 atoms:
O: 0.076 0.138 0.086
P: 0.745 0.520 0.186
O: 0.007 0.594 0.169
Ca: 0.250 0.606 0.394
O: 0.924 0.862 0.914
Nb: 0.764 0.246 0.004
O: 0.424 0.914 0.862
O: 0.946 0.925 0.374
O: 0.750 0.169 0.831
O: 0.633 0.485 0.348
P: 0.245 0.186 0.520
O: 0.054 0.075 0.626
O: 0.867 0.652 0.515
O: 0.250 0.831 0.169
O: 0.507 0.169 0.594
O: 0.714 0.859 0.628
O: 0.214 0.628 0.859
O: 0.133 0.348 0.485
O: 0.367 0.515 0.652
Nb: 0.264 0.004 0.246
O: 0.493 0.831 0.406
Ca: 0.750 0.394 0.606
P: 0.255 0.480 0.814
O: 0.286 0.141 0.372
O: 0.786 0.372 0.141
O: 0.993 0.406 0.831
O: 0.446 0.374 0.925
O: 0.576 0.086 0.138
Nb: 0.736 0.996 0.754
O: 0.554 0.626 0.075
Nb: 0.236 0.754 0.996
P: 0.755 0.814 0.480

Values from the calculation:
- crystal system = monoclinic
- formation energy from raw total energies (eV/atom) = -2.586

Record 12
This record from Alexandria via LeMat-Bulk describes an optimized crystal structure of YClO. The functional is GGA-PBEsol.

Cell lengths 3.861, 3.861, 6.579 Å; angles 90.00, 90.00, 90.00 degrees
Fractional coordinates of all 6 atoms:
Y: 0.000 0.500 0.831
Cl: 0.500 0.000 0.627
O: 0.500 0.500 0.000
O: 0.000 0.000 0.000
Cl: 0.000 0.500 0.373
Y: 0.500 0.000 0.169

Values from the calculation:
- crystal system = tetragonal
- formation energy from raw total energies (eV/atom) = -3.139

Record 13
This record from Alexandria via LeMat-Bulk describes an optimized crystal structure of Cr3P. The functional is GGA-PBEsol.

Cell lengths 4.438, 6.730, 6.730 Å; angles 83.76, 70.75, 70.75 degrees
Fractional coordinates of all 16 atoms:
Cr: 0.590 0.525 0.323
Cr: 0.109 0.171 0.113
Cr: 0.086 0.323 0.475
Cr: 0.885 0.677 0.525
Cr: 0.778 0.113 0.829
Cr: 0.298 0.889 0.555
Cr: 0.439 0.475 0.677
Cr: 0.393 0.829 0.887
P: 0.297 0.166 0.746
Cr: 0.743 0.111 0.445
Cr: 0.147 0.555 0.111
P: 0.537 0.254 0.166
Cr: 0.812 0.445 0.889
P: 0.956 0.746 0.834
P: 0.210 0.834 0.254
Cr: 0.721 0.887 0.171

Values from the calculation:
- crystal system = tetragonal
- E_form (eV per atom) = -0.4004

Record 14
This record from Alexandria via LeMat-Bulk describes an optimized crystal structure of ZnInPb2Br. The functional is GGA-PBEsol.

Cell lengths 5.290, 5.290, 5.311 Å; angles 90.00, 90.00, 90.00 degrees
Fractional coordinates of all 5 atoms:
Br: 0.000 0.000 0.500
Zn: 0.000 0.000 0.000
Pb: 0.500 0.000 0.000
In: 0.500 0.500 0.500
Pb: 0.000 0.500 0.000

Values from the calculation:
- crystal system = tetragonal
- formation energy from raw total energies (eV/atom) = 0.211

Record 15
This record from Alexandria via LeMat-Bulk describes an optimized crystal structure of YHgF2. The functional is GGA-PBEsol.

Cell lengths 4.472, 4.472, 4.472 Å; angles 60.00, 60.00, 60.00 degrees
Fractional coordinates of all 4 atoms:
Y: 0.000 0.000 0.000
F: 0.750 0.750 0.750
F: 0.250 0.250 0.250
Hg: 0.500 0.500 0.500

Values from the calculation:
- crystal system = cubic
- formation energy from raw total energies (eV/atom) = -1.941

Record 16
This record from Alexandria via LeMat-Bulk describes an optimized crystal structure of BaAlSn. The functional is GGA-PBEsol.

Cell lengths 4.618, 4.618, 5.076 Å; angles 90.00, 90.00, 120.00 degrees
Fractional coordinates of all 3 atoms:
Al: 0.000 0.000 0.500
Ba: 0.333 0.667 0.000
Sn: 0.667 0.333 0.500

Values from the calculation:
- crystal system = hexagonal
- E_form (eV per atom) = -0.4713

Record 17
This record from Alexandria via LeMat-Bulk describes an optimized crystal structure of PbS2N. The functional is GGA-PBEsol.

Cell lengths 3.214, 3.214, 8.338 Å; angles 78.89, 78.89, 60.00 degrees
Fractional coordinates of all 4 atoms:
S: 0.884 0.884 0.349
S: 0.116 0.116 0.651
Pb: 0.000 0.000 0.000
N: 0.500 0.500 0.500

Values from the calculation:
- crystal system = trigonal
- formation energy from raw total energies (eV/atom) = 1.040

Record 18
This record from Alexandria via LeMat-Bulk describes an optimized crystal structure of Y2ScRh. The functional is GGA-PBEsol.

Cell lengths 3.488, 5.096, 6.064 Å; angles 114.85, 106.72, 90.00 degrees
Fractional coordinates of all 4 atoms:
Rh: 0.491 0.991 0.983
Y: 0.205 0.205 0.409
Y: 0.001 0.501 0.002
Sc: 0.803 0.803 0.606

Values from the calculation:
- crystal system = orthorhombic
- E_form (eV per atom) = -0.4381

Record 19
This record from Alexandria via LeMat-Bulk describes an optimized crystal structure of K2LaNb5O15. The functional is GGA-PBEsol.

Cell lengths 3.939, 12.684, 12.684 Å; angles 90.00, 90.00, 90.00 degrees
Fractional coordinates of all 46 atoms:
O: 0.000 0.842 0.501
O: 0.000 0.717 0.783
O: 0.500 0.500 0.000
O: 0.500 0.310 0.580
O: 0.500 0.580 0.690
Nb: 0.000 0.213 0.077
Nb: 0.000 0.923 0.213
Nb: 0.000 0.287 0.577
O: 0.000 0.633 0.560
O: 0.000 0.940 0.867
O: 0.000 0.283 0.217
O: 0.500 0.080 0.810
O: 0.500 0.190 0.080
O: 0.000 0.367 0.440
O: 0.000 0.440 0.633
Nb: 0.000 0.077 0.787
O: 0.500 0.920 0.190
K: 0.500 0.170 0.330
Nb: 0.000 0.423 0.287
K: 0.500 0.830 0.670
Nb: 0.000 0.577 0.713
La: 0.500 0.500 0.500
K: 0.500 0.330 0.830
O: 0.000 0.158 0.499
O: 0.000 0.999 0.658
O: 0.500 0.000 0.500
O: 0.000 0.658 0.001
O: 0.000 0.001 0.342
O: 0.000 0.560 0.367
K: 0.500 0.670 0.170
O: 0.000 0.499 0.842
Nb: 0.000 0.787 0.923
O: 0.000 0.783 0.283
O: 0.500 0.690 0.420
Nb: 0.000 0.713 0.423
La: 0.500 0.000 0.000
O: 0.000 0.060 0.133
O: 0.000 0.217 0.717
O: 0.000 0.867 0.060
O: 0.000 0.133 0.940
O: 0.500 0.810 0.920
Nb: 0.000 0.000 0.500
O: 0.500 0.420 0.310
O: 0.000 0.501 0.158
O: 0.000 0.342 0.999
Nb: 0.000 0.500 0.000

Values from the calculation:
- crystal system = tetragonal
- formation energy from raw total energies (eV/atom) = -2.659

Record 20
This record from Alexandria via LeMat-Bulk describes an optimized crystal structure of KAg4Ir. The functional is GGA-PBEsol.

Cell lengths 5.407, 5.407, 5.407 Å; angles 60.00, 60.00, 60.00 degrees
Fractional coordinates of all 6 atoms:
Ir: 0.750 0.750 0.750
K: 0.000 0.000 0.000
Ag: 0.376 0.376 0.873
Ag: 0.376 0.376 0.376
Ag: 0.376 0.873 0.376
Ag: 0.873 0.376 0.376

Values from the calculation:
- crystal system = cubic
- E_form (eV per atom) = 0.5471

E_tot list, top to bottom, in hartree per atom: -0.2535, -0.1575, -0.1485, -0.1622, -0.1520, -0.1332, -0.2568, -0.1356, -0.1364, -0.1807, -0.3089, -0.2878, -0.3502, -0.0983, -0.1746, -0.1459, -0.1574, -0.2769, -0.3222, -0.1281